The following is a DFT calculation (PBE-GGA) of a geometry-optimized LiW2Cl structure.

Calculated values
- uncorrected energy (eV per atom) = -7.326
- calculated volume (Å³ per cell) = 72.0
- offset from the most stable computed form (eV/atom) = 0.043
- ΔE_f (raw) (eV per atom) = 0.091
- Fermi-level density of states (states/eV/cell) = 2.0

a = 3.2055 Å, b = 3.2055 Å, c = 8.6082 Å
α = 74.60°, β = 74.60°, γ = 58.72°
With the nearest neighbours (Å) after each atom.
Element x y z (fractional)
1 Cl 0.4439 0.4439 0.4789  3 Li 2.38-2.41
2 W 0.8081 0.8081 0.7614  3 W 2.50-2.51, 2 Cl 2.80
3 W 0.0405 0.0405 0.9688  3 W 2.50-2.51
4 Li 0.2075 0.2075 0.2909  3 Cl 2.38-2.41

=====

The following is a DFT calculation (PBE-GGA) of a geometry-optimized HgSb2Br6 structure.

Calculated values
- uncorrected energy (eV per atom) = -2.566
- calculated volume (Å³ per cell) = 863.2
- offset from the most stable computed form (eV/atom) = 0.006
- ΔE_f (raw) (eV per atom) = -0.501

a = 5.9619 Å, b = 12.2618 Å, c = 12.2618 Å
α = 97.48°, β = 80.97°, γ = 80.97°
With the nearest neighbours (Å) after each atom.
Element x y z (fractional)
1 Sb 0.6448 0.4778 0.2516  3 Br 2.52-2.64
2 Sb 0.1448 0.2516 0.4778  3 Br 2.52-2.64
3 Sb 0.8552 0.7484 0.5222  3 Br 2.52-2.64
4 Sb 0.3552 0.5222 0.7484  3 Br 2.52-2.64
5 Br 0.2812 0.1104 0.3010  1 Sb 2.53
6 Br 0.5451 0.3156 0.4874  1 Sb 2.64
7 Br 0.0451 0.4874 0.3156  1 Sb 2.64
8 Br 0.8349 0.8784 0.3795  1 Sb 2.52
9 Br 0.6651 0.6205 0.1216  1 Sb 2.52
10 Br 0.7188 0.8896 0.6990  1 Sb 2.53
11 Br 0.1651 0.1216 0.6205  1 Sb 2.52
12 Br 0.2188 0.6990 0.8896  1 Sb 2.53
13 Br 0.7812 0.3010 0.1104  1 Sb 2.53
14 Br 0.9549 0.5126 0.6844  1 Sb 2.64
15 Br 0.3349 0.3795 0.8784  1 Sb 2.52
16 Br 0.4549 0.6844 0.5126  1 Sb 2.64
17 Hg 0.2500 0.0500 0.9500  2 Hg 3.50, 2 Br 3.89
18 Hg 0.7500 0.9500 0.0500  2 Hg 3.50, 2 Br 3.89

=====

The following is a DFT calculation (PBE-GGA) of a geometry-optimized Cs12Pd3I5 structure.

Calculated values
- uncorrected energy (eV per atom) = -2.308
- calculated volume (Å³ per cell) = 5327.9
- ΔE_f (raw) (eV per atom) = -0.629
- Fermi-level density of states (states/eV/cell) = 24.0

a = 19.0572 Å, b = 19.0572 Å, c = 19.0572 Å
α = 109.47°, β = 109.47°, γ = 109.47°
With the nearest neighbours (Å) after each atom.
Element x y z (fractional)
1 Cs 0.0991 0.1695 0.2351  2 I 3.68-3.84, 1 Pd 3.76, 1 Cs 4.01
2 Cs 0.9344 0.3640 0.2649  2 I 3.68-3.84, 1 Pd 3.76, 1 Cs 4.01
3 Cs 0.5703 0.9344 0.6695  2 I 3.68-3.84, 1 Pd 3.76, 1 Cs 4.01
4 Cs 0.5991 0.7351 0.6695  2 I 3.68-3.84, 1 Pd 3.76, 1 Cs 4.01
5 Cs 0.4297 0.3640 0.5991  2 I 3.68-3.84, 1 Pd 3.76, 1 Cs 4.01
6 Cs 0.8305 0.9297 0.0656  2 I 3.68-3.84, 1 Pd 3.76, 1 Cs 4.01
7 Cs 0.7351 0.5991 0.1695  2 I 3.68-3.84, 1 Pd 3.76, 1 Cs 4.01
8 Cs 0.2649 0.4009 0.8305  2 I 3.68-3.84, 1 Pd 3.76, 1 Cs 4.01
9 Cs 0.0656 0.6360 0.7351  2 I 3.68-3.84, 1 Pd 3.76, 1 Cs 4.01
10 Cs 0.5703 0.6360 0.4009  2 I 3.68-3.84, 1 Pd 3.76, 1 Cs 4.01
11 Cs 0.4009 0.1360 0.5703  2 I 3.68-3.84, 1 Pd 3.76, 1 Cs 4.01
12 Cs 0.5656 0.3305 0.9297  2 I 3.68-3.84, 1 Pd 3.76, 1 Cs 4.01
13 Cs 0.9297 0.0991 0.8640  2 I 3.68-3.84, 1 Pd 3.76, 1 Cs 4.01
14 Cs 0.2351 0.6695 0.0991  2 I 3.68-3.84, 1 Pd 3.76, 1 Cs 4.01
15 Cs 0.1695 0.0991 0.7351  2 I 3.68-3.84, 1 Pd 3.76, 1 Cs 4.01
16 Cs 0.8305 0.9009 0.2649  2 I 3.68-3.84, 1 Pd 3.76, 1 Cs 4.01
17 Cs 0.7351 0.1360 0.0656  2 I 3.68-3.84, 1 Pd 3.76, 1 Cs 4.01
18 Cs 0.1360 0.7351 0.5656  2 I 3.68-3.84, 1 Pd 3.76, 1 Cs 4.01
19 Cs 0.9297 0.8305 0.5656  2 I 3.68-3.84, 1 Pd 3.76, 1 Cs 4.01
20 Cs 0.4344 0.7649 0.8640  2 I 3.68-3.84, 1 Pd 3.76, 1 Cs 4.01
21 Cs 0.8640 0.2649 0.4344  2 I 3.68-3.84, 1 Pd 3.76, 1 Cs 4.01
22 Cs 0.2649 0.8640 0.9344  2 I 3.68-3.84, 1 Pd 3.76, 1 Cs 4.01
23 Cs 0.8640 0.5991 0.9297  2 I 3.68-3.84, 1 Pd 3.76, 1 Cs 4.01
24 Cs 0.5991 0.8640 0.4297  2 I 3.68-3.84, 1 Pd 3.76, 1 Cs 4.01
25 Cs 0.4297 0.0656 0.3305  2 I 3.68-3.84, 1 Pd 3.76, 1 Cs 4.01
26 Cs 0.2351 0.5656 0.6360  2 I 3.68-3.84, 1 Pd 3.76, 1 Cs 4.01
27 Cs 0.6695 0.4344 0.5703  2 I 3.68-3.84, 1 Pd 3.76, 1 Cs 4.01
28 Cs 0.6695 0.2351 0.5991  2 I 3.68-3.84, 1 Pd 3.76, 1 Cs 4.01
29 Cs 0.0703 0.1695 0.4344  2 I 3.68-3.84, 1 Pd 3.76, 1 Cs 4.01
30 Cs 0.5656 0.2351 0.1360  2 I 3.68-3.84, 1 Pd 3.76, 1 Cs 4.01
31 Cs 0.1360 0.4009 0.0703  2 I 3.68-3.84, 1 Pd 3.76, 1 Cs 4.01
32 Cs 0.7649 0.4344 0.3640  2 I 3.68-3.84, 1 Pd 3.76, 1 Cs 4.01
33 Cs 0.0656 0.4297 0.8305  2 I 3.68-3.84, 1 Pd 3.76, 1 Cs 4.01
34 Cs 0.3305 0.5656 0.4297  2 I 3.68-3.84, 1 Pd 3.76, 1 Cs 4.01
35 Cs 0.1695 0.0703 0.9344  2 I 3.68-3.84, 1 Pd 3.76, 1 Cs 4.01
36 Cs 0.9009 0.0703 0.6360  2 I 3.68-3.84, 1 Pd 3.76, 1 Cs 4.01
37 Cs 0.3640 0.4297 0.0991  2 I 3.68-3.84, 1 Pd 3.76, 1 Cs 4.01
38 Cs 0.4344 0.6695 0.0703  2 I 3.68-3.84, 1 Pd 3.76, 1 Cs 4.01
39 Cs 0.3305 0.7649 0.4009  2 I 3.68-3.84, 1 Pd 3.76, 1 Cs 4.01
40 Cs 0.0991 0.9297 0.3640  2 I 3.68-3.84, 1 Pd 3.76, 1 Cs 4.01
41 Cs 0.4009 0.2649 0.3305  2 I 3.68-3.84, 1 Pd 3.76, 1 Cs 4.01
42 Cs 0.6360 0.0656 0.2351  2 I 3.68-3.84, 1 Pd 3.76, 1 Cs 4.01
43 Cs 0.6360 0.5703 0.9009  2 I 3.68-3.84, 1 Pd 3.76, 1 Cs 4.01
44 Cs 0.0703 0.9009 0.1360  2 I 3.68-3.84, 1 Pd 3.76, 1 Cs 4.01
45 Cs 0.9009 0.8305 0.7649  2 I 3.68-3.84, 1 Pd 3.76, 1 Cs 4.01
46 Cs 0.9344 0.5703 0.1695  2 I 3.68-3.84, 1 Pd 3.76, 1 Cs 4.01
47 Cs 0.3640 0.9344 0.7649  2 I 3.68-3.84, 1 Pd 3.76, 1 Cs 4.01
48 Cs 0.7649 0.3305 0.9009  2 I 3.68-3.84, 1 Pd 3.76, 1 Cs 4.01
49 Pd 0.3750 0.7500 0.6250  8 Cs 3.76-4.20
50 Pd 0.2500 0.1250 0.3750  8 Cs 3.76-4.20
51 Pd 0.1250 0.8750 0.7500  8 Cs 3.76-4.20
52 Pd 0.6250 0.3750 0.7500  8 Cs 3.76-4.20
53 Pd 0.6250 0.2500 0.3750  8 Cs 3.76-4.20
54 Pd 0.2500 0.6250 0.8750  8 Cs 3.76-4.20
55 Pd 0.8750 0.7500 0.1250  8 Cs 3.76-4.20
56 Pd 0.8750 0.1250 0.2500  8 Cs 3.76-4.20
57 Pd 0.7500 0.3750 0.1250  8 Cs 3.76-4.20
58 Pd 0.7500 0.8750 0.6250  8 Cs 3.76-4.20
59 Pd 0.1250 0.2500 0.8750  8 Cs 3.76-4.20
60 Pd 0.3750 0.6250 0.2500  8 Cs 3.76-4.20
61 I 0.2500 0.3750 0.6250  4 Cs 3.68
62 I 0.7500 0.6250 0.3750  4 Cs 3.68
63 I 0.6250 0.7500 0.8750  4 Cs 3.68
64 I 0.5000 0.5000 0.5000  6 Cs 3.84
65 I 0.5000 0.0000 0.5000  6 Cs 3.84
66 I 0.1250 0.3750 0.2500  4 Cs 3.68
67 I 0.0000 0.5000 0.5000  6 Cs 3.84
68 I 0.0000 0.0000 0.0000  6 Cs 3.84
69 I 0.8750 0.6250 0.7500  4 Cs 3.68
70 I 0.2500 0.8750 0.1250  4 Cs 3.68
71 I 0.0000 0.5000 0.0000  6 Cs 3.84
72 I 0.7500 0.1250 0.8750  4 Cs 3.68
73 I 0.1250 0.7500 0.3750  4 Cs 3.68
74 I 0.5000 0.0000 0.0000  6 Cs 3.84
75 I 0.8750 0.2500 0.6250  4 Cs 3.68
76 I 0.3750 0.1250 0.7500  4 Cs 3.68
77 I 0.0000 0.0000 0.5000  6 Cs 3.84
78 I 0.6250 0.8750 0.2500  4 Cs 3.68
79 I 0.3750 0.2500 0.1250  4 Cs 3.68
80 I 0.5000 0.5000 0.0000  6 Cs 3.84

=====

The following is a DFT calculation (PBE-GGA) of a geometry-optimized Ba3SrRu2O9 structure.

Calculated values
- uncorrected energy (eV per atom) = -6.695
- calculated volume (Å³ per cell) = 232.5
- offset from the most stable computed form (eV/atom) = 0.024
- ΔE_f (raw) (eV per atom) = -1.987
- Fermi-level density of states (states/eV/cell) = 5.7

a = 5.9406 Å, b = 5.9406 Å, c = 7.6090 Å
α = 90.00°, β = 90.00°, γ = 120.00°
With the nearest neighbours (Å) after each atom.
Element x y z (fractional)
1 Ru 0.6667 0.3333 0.8391  6 O 1.90-2.11
2 Ru 0.3333 0.6667 0.1609  6 O 1.90-2.11
3 Ba 0.6667 0.3333 0.2970  9 O 2.84-2.97
4 Ba 0.0000 0.0000 0.0000  12 O 2.93-2.97
5 Ba 0.3333 0.6667 0.7030  9 O 2.84-2.97
6 Sr 0.0000 0.0000 0.5000  6 O 2.40
7 O 0.1795 0.3589 0.2995  1 Ru 1.90
8 O 0.1795 0.8205 0.2995  1 Ru 1.90
9 O 0.3589 0.1795 0.7005  1 Ru 1.90
10 O 0.5000 0.0000 0.0000  2 Ru 2.11
11 O 0.8205 0.6411 0.7005  1 Ru 1.90
12 O 0.0000 0.5000 0.0000  2 Ru 2.11
13 O 0.8205 0.1795 0.7005  1 Ru 1.90
14 O 0.5000 0.5000 0.0000  2 Ru 2.11
15 O 0.6411 0.8205 0.2995  1 Ru 1.90

=====

The following is a DFT calculation (PBE-GGA) of a geometry-optimized NdHoEr2S6 structure.

Calculated values
- uncorrected energy (eV per atom) = -6.372
- calculated volume (Å³ per cell) = 257.1
- ΔE_f (raw) (eV per atom) = -2.048
- Fermi-level density of states (states/eV/cell) = 0.0

a = 6.9427 Å, b = 6.9427 Å, c = 7.3503 Å
α = 61.81°, β = 61.81°, γ = 59.99°
With the nearest neighbours (Å) after each atom.
Element x y z (fractional)
1 S 0.7226 0.1344 0.7485  2 Er 2.69-2.76, 1 Ho 2.78, 1 Nd 2.80
2 S 0.1344 0.3946 0.7485  2 Er 2.69-2.76, 1 Ho 2.78, 1 Nd 2.80
3 S 0.9125 0.6162 0.2461  2 Er 2.70-2.76, 1 Ho 2.72, 1 Nd 2.91
4 S 0.2252 0.9125 0.2461  2 Er 2.70-2.76, 1 Ho 2.72, 1 Nd 2.91
5 S 0.3945 0.7226 0.7485  2 Er 2.69-2.76, 1 Ho 2.78, 1 Nd 2.80
6 S 0.6162 0.2252 0.2462  2 Er 2.70-2.76, 1 Ho 2.72, 1 Nd 2.91
7 Ho 0.3157 0.3157 0.0529  6 S 2.72-2.78
8 Er 0.5173 0.5172 0.4483  6 S 2.70-2.76
9 Er 0.0137 0.0137 0.9589  6 S 2.69-2.76
10 Nd 0.8096 0.8096 0.5712  6 S 2.80-2.91

=====

The following is a DFT calculation (PBE-GGA) of a geometry-optimized KMg2Si structure.

Calculated values
- uncorrected energy (eV per atom) = -2.108
- calculated volume (Å³ per cell) = 98.2
- ΔE_f (raw) (eV per atom) = 0.320
- Fermi-level density of states (states/eV/cell) = 1.8

a = 5.1830 Å, b = 5.1830 Å, c = 5.1830 Å
α = 120.14°, β = 120.14°, γ = 89.76°
With the nearest neighbours (Å) after each atom.
Element x y z (fractional)
1 Mg 0.2500 0.7500 0.5000  4 Mg 3.17, 4 Si 3.17
2 Mg 0.0000 0.0000 0.0000  4 K 3.17, 4 Mg 3.17
3 Si 0.5000 0.5000 0.0000  4 Mg 3.17, 4 K 3.17
4 K 0.7500 0.2500 0.5000  4 Mg 3.17, 4 Si 3.17

=====

The following is a DFT calculation (PBE-GGA) of a geometry-optimized YWSe2 structure.

Calculated values
- uncorrected energy (eV per atom) = -6.815
- calculated volume (Å³ per cell) = 93.6
- offset from the most stable computed form (eV/atom) = 0.320
- ΔE_f (raw) (eV per atom) = -0.219
- Fermi-level density of states (states/eV/cell) = 5.0

a = 9.2973 Å, b = 9.2973 Å, c = 9.2973 Å
α = 21.39°, β = 21.39°, γ = 21.39°
With the nearest neighbours (Å) after each atom.
Element x y z (fractional)
1 Se 0.2318 0.2318 0.2318  3 W 2.54
2 Se 0.0106 0.0106 0.0106  3 Y 2.82
3 Y 0.7505 0.7505 0.7505  3 Se 2.82, 3 W 3.16
4 W 0.5071 0.5071 0.5071  3 Se 2.54

=====

The following is a DFT calculation (PBE-GGA) of a geometry-optimized Ba2HgRh structure.

Calculated values
- uncorrected energy (eV per atom) = -2.928
- calculated volume (Å³ per cell) = 122.6
- ΔE_f (eV per formula unit) = -0.2
- Fermi-level density of states (states/eV/cell) = 2.3

a = 6.3230 Å, b = 6.3230 Å, c = 6.3230 Å
α = 135.46°, β = 135.46°, γ = 64.81°
With the nearest neighbours (Å) after each atom.
Element x y z (fractional)
1 Rh 0.7500 0.2500 0.5000  8 Ba 3.39-3.59, 4 Hg 3.59
2 Ba 0.0000 0.0000 0.0000  4 Hg 3.39, 4 Ba 3.59, 4 Rh 3.59
3 Ba 0.2500 0.7500 0.5000  4 Rh 3.39, 4 Ba 3.59, 4 Hg 3.59
4 Hg 0.5000 0.5000 0.0000  8 Ba 3.39-3.59, 4 Rh 3.59

=====

Among the records above, which one has the highest calculated volume?
Cs12Pd3I5

=====

Which of these has the lowest calculated volume?
LiW2Cl

=====

What is the uncorrected energy in the second record?
-2.566 eV per atom

=====

Which value of calculated volume does entry 8 give?
122.6 Å³ per cell